*w*
AlPCN4 | PBE-GGA | relaxed

Summary:
spin magnetization = 0.00 Bohr magnetons per cell

Cell lengths 3.0593, 3.6530, 6.0394 Å; angles 100.62, 93.99, 114.30 degrees
Element x y z (fractional)
P: 0.2460 0.9850 0.4406
C: 0.5241 0.2035 0.2003
Al: 0.9760 0.4051 0.8695
N: 0.3410 0.0324 0.9795
N: 0.4923 0.4807 0.6479
N: 0.9542 0.5260 0.2449
N: 0.6900 0.8678 0.5880

*x*
AlPCN4 | PBE-GGA | relaxed

Summary:
spin magnetization = 0.00 Bohr magnetons per cell
DOS at the Fermi energy = 0.00 states/eV per cell

Cell lengths 3.8610, 4.7964, 4.9945 Å; angles 100.04, 108.23, 105.54 degrees
Element x y z (fractional)
P: 0.0741 0.3539 0.1520
C: 0.1971 0.2835 0.6698
Al: 0.7568 0.8229 0.7986
N: 0.9103 0.0347 0.5632
N: 0.8177 0.5844 0.0627
N: 0.3320 0.4774 0.5192
N: 0.4115 0.4138 0.9816

The most stable of them is *w*.

*w*
AlCSN2 | PBE-GGA | relaxed

Summary:
spin magnetization = 1.06 Bohr magnetons per cell
DOS at the Fermi energy = 2.50 states/eV per cell

Cell lengths 3.5743, 3.5743, 5.3976 Å; angles 90.00, 90.00, 90.00 degrees
Each line ends with the local moment (μB).
Element x y z (fractional)
C: 0.5000 0.5000 0.5000  -0.26
S: 0.0000 0.0000 0.5000  0.22
Al: 0.0000 0.0000 0.0000  -0.02
N: 0.0000 0.5000 0.0000  0.44
N: 0.5000 0.0000 0.0000  0.44

*x*
AlCSN2 | PBE-GGA | relaxed

Summary:
spin magnetization = 0.00 Bohr magnetons per cell
DOS at the Fermi energy = 2.66 states/eV per cell

Cell lengths 3.4910, 3.4910, 3.9521 Å; angles 90.00, 90.00, 90.00 degrees
Element x y z (fractional)
C: 0.0000 0.0000 0.0000
S: 0.0000 0.0000 0.5000
Al: 0.5000 0.5000 0.5000
N: 0.0000 0.5000 0.0000
N: 0.5000 0.0000 0.0000

The most stable of them is *x*.

*w*
AlCS2N | PBE-GGA | relaxed

Summary:
spin magnetization = 0.00 Bohr magnetons per cell
DOS at the Fermi energy = 1.75 states/eV per cell

Cell lengths 5.8075, 5.8075, 2.4362 Å; angles 90.00, 90.00, 90.00 degrees
Element x y z (fractional)
C: 0.0000 0.0000 0.0000
S: 0.0000 0.5000 0.0000
S: 0.5000 0.0000 0.0000
Al: 0.5000 0.5000 0.5000
N: 0.0000 0.0000 0.5000

*x*
AlCS2N | PBE-GGA | relaxed

Summary:
spin magnetization = 1.91 Bohr magnetons per cell
DOS at the Fermi energy = 2.35 states/eV per cell

Cell lengths 4.6648, 4.6648, 3.6380 Å; angles 90.00, 90.00, 90.00 degrees
Each line ends with the local moment (μB).
Element x y z (fractional)
C: 0.5000 0.5000 0.5000  0.29
S: 0.0000 0.5000 0.0000  0.01
S: 0.5000 0.0000 0.0000  0.01
Al: 0.0000 0.0000 0.0000  -0.01
N: 0.0000 0.0000 0.5000  0.94

The most stable of them is *w*.

*w*
AlCSeN2 | PBE-GGA | relaxed

Summary:
spin magnetization = 0.00 Bohr magnetons per cell
DOS at the Fermi energy = 4.33 states/eV per cell

Cell lengths 3.5927, 4.1882, 3.5927 Å; angles 90.00, 90.00, 90.00 degrees
Element x y z (fractional)
C: 0.0000 0.0000 0.0000
Al: 0.5000 0.5000 0.5000
Se: 0.0000 0.5000 0.0000
N: 0.0000 0.0000 0.5000
N: 0.5000 0.0000 0.0000

*x*
AlCSeN2 | PBE-GGA | relaxed

Summary:
spin magnetization = 0.82 Bohr magnetons per cell
DOS at the Fermi energy = 2.34 states/eV per cell

Cell lengths 3.4829, 3.4829, 7.4457 Å; angles 90.00, 90.00, 90.00 degrees
Each line ends with the local moment (μB).
Element x y z (fractional)
C: 0.5000 0.5000 0.5000  0.31
Al: 0.0000 0.0000 0.0000  -0.01
Se: 0.0000 0.0000 0.5000  -0.09
N: 0.0000 0.5000 0.0000  0.11
N: 0.5000 0.0000 0.0000  0.11

The most stable of them is *x*.

*w*
AlCSe2N | PBE-GGA | relaxed

Summary:
spin magnetization = 0.00 Bohr magnetons per cell
DOS at the Fermi energy = 3.55 states/eV per cell

Cell lengths 4.9617, 4.9617, 3.4972 Å; angles 90.00, 90.00, 90.00 degrees
Element x y z (fractional)
C: 0.5000 0.5000 0.5000
Al: 0.0000 0.0000 0.0000
Se: 0.0000 0.5000 0.0000
Se: 0.5000 0.0000 0.0000
N: 0.0000 0.0000 0.5000

*x*
AlCSe2N | PBE-GGA | relaxed

Summary:
spin magnetization = 0.00 Bohr magnetons per cell
DOS at the Fermi energy = 1.12 states/eV per cell

Cell lengths 6.0040, 6.0040, 2.4994 Å; angles 90.00, 90.00, 90.00 degrees
Element x y z (fractional)
C: 0.0000 0.0000 0.0000
Al: 0.5000 0.5000 0.5000
Se: 0.0000 0.5000 0.0000
Se: 0.5000 0.0000 0.0000
N: 0.0000 0.0000 0.5000

The most stable of them is *x*.

*w*
AlTe2CN | PBE-GGA | relaxed

Summary:
spin magnetization = 0.00 Bohr magnetons per cell
DOS at the Fermi energy = 1.78 states/eV per cell

Cell lengths 6.3450, 6.3450, 2.6466 Å; angles 90.00, 90.00, 90.00 degrees
Element x y z (fractional)
C: 0.0000 0.0000 0.0000
Te: 0.0000 0.5000 0.0000
Te: 0.5000 0.0000 0.0000
Al: 0.5000 0.5000 0.5000
N: 0.0000 0.0000 0.5000

*x*
AlTe2CN | PBE-GGA | relaxed

Summary:
spin magnetization = 0.01 Bohr magnetons per cell
DOS at the Fermi energy = 4.31 states/eV per cell

Cell lengths 5.4668, 5.4668, 3.4304 Å; angles 90.00, 90.00, 90.00 degrees
Each line ends with the local moment (μB).
Element x y z (fractional)
C: 0.5000 0.5000 0.5000  0.17
Te: 0.0000 0.5000 0.0000  -0.06
Te: 0.5000 0.0000 0.0000  -0.06
Al: 0.0000 0.0000 0.0000  0.00
N: 0.0000 0.0000 0.5000  -0.08

The most stable of them is *w*.

*w*
NbAl3C | PBE-GGA | relaxed

Summary:
spin magnetization = 0.37 Bohr magnetons per cell
DOS at the Fermi energy = 3.09 states/eV per cell

Cell lengths 5.0727, 5.0727, 5.0727 Å; angles 90.00, 90.00, 90.00 degrees
Each line ends with the local moment (μB).
Element x y z (fractional)
C: 0.5000 0.5000 0.5000  0.78
Nb: 0.0000 0.0000 0.0000  -1.07
Al: 0.0000 0.5000 0.0000  -0.05
Al: 0.0000 0.0000 0.5000  -0.03
Al: 0.5000 0.0000 0.0000  -0.01

*x*
NbAl3C | PBE-GGA | relaxed

Summary:
spin magnetization = 1.52 Bohr magnetons per cell
DOS at the Fermi energy = 6.02 states/eV per cell

Cell lengths 4.1371, 4.1371, 4.1371 Å; angles 90.00, 90.00, 90.00 degrees
Each line ends with the local moment (μB).
Element x y z (fractional)
C: 0.0000 0.0000 0.0000  0.21
Nb: 0.5000 0.5000 0.5000  0.90
Al: 0.0000 0.5000 0.0000  0.01
Al: 0.0000 0.0000 0.5000  0.01
Al: 0.5000 0.0000 0.0000  -0.01

The most stable of them is *x*.

*w*
Nb4Al2C | PBE-GGA | relaxed

Summary:
spin magnetization = 0.00 Bohr magnetons per cell
DOS at the Fermi energy = 4.86 states/eV per cell

Cell lengths 2.9447, 8.3408, 9.7860 Å; angles 150.54, 90.00, 90.00 degrees
Element x y z (fractional)
Nb: 0.5000 0.9025 0.8131
Nb: 0.0000 0.2236 0.8138
Nb: 0.5000 0.2403 0.3298
Nb: 0.0000 0.9192 0.3291
Al: 0.5000 0.5387 0.8256
Al: 0.5000 0.6041 0.3173
C: 0.0000 0.0714 0.0714

*x*
Nb4Al2C | PBE-GGA | relaxed

Summary:
spin magnetization = 0.00 Bohr magnetons per cell
DOS at the Fermi energy = 13.77 states/eV per cell

Cell lengths 8.5119, 8.5119, 8.5119 Å; angles 60.00, 60.00, 60.00 degrees
Element x y z (fractional)
C: 0.6250 0.1250 0.1250
C: 0.1250 0.6250 0.1250
C: 0.1250 0.1250 0.1250
C: 0.1250 0.1250 0.6250
Nb: 0.0565 0.0565 0.4435
Nb: 0.6250 0.1250 0.6250
Nb: 0.1935 0.8065 0.8065
Nb: 0.0565 0.4435 0.0565
Nb: 0.4435 0.4435 0.0565
Nb: 0.8065 0.1935 0.1935
Nb: 0.1935 0.8065 0.1935
Nb: 0.1935 0.1935 0.8065
Nb: 0.4435 0.0565 0.0565
Nb: 0.8065 0.8065 0.1935
Nb: 0.6250 0.6250 0.1250
Nb: 0.0565 0.4435 0.4435
Nb: 0.4435 0.0565 0.4435
Nb: 0.8065 0.1935 0.8065
Nb: 0.6250 0.6250 0.6250
Nb: 0.1250 0.6250 0.6250
Al: 0.4084 0.4084 0.7748
Al: 0.4084 0.7748 0.4084
Al: 0.4084 0.4084 0.4084
Al: 0.8416 0.8416 0.8416
Al: 0.8416 0.8416 0.4752
Al: 0.4752 0.8416 0.8416
Al: 0.7748 0.4084 0.4084
Al: 0.8416 0.4752 0.8416

The most stable of them is *x*.

*w*
NpAlC | PBE-GGA | relaxed

Summary:
spin magnetization = 2.33 Bohr magnetons per cell
DOS at the Fermi energy = 4.01 states/eV per cell

Cell lengths 3.0188, 3.0188, 5.8913 Å; angles 104.85, 104.85, 90.00 degrees
Each line ends with the local moment (μB).
Element x y z (fractional)
Np: 0.7174 0.7174 0.4347  2.39
C: 0.2908 0.2908 0.5816  -0.14
Al: 0.9919 0.9919 0.9837  0.01

*x*
NpAlC | PBE-GGA | relaxed

Summary:
spin magnetization = 4.01 Bohr magnetons per cell
DOS at the Fermi energy = 5.14 states/eV per cell

Cell lengths 5.3017, 3.2515, 3.2515 Å; angles 120.00, 90.00, 90.00 degrees
Each line ends with the local moment (μB).
Element x y z (fractional)
Np: 0.9187 0.0000 0.0000  3.79
C: 0.6325 0.3333 0.6667  -0.07
Al: 0.4488 0.6667 0.3333  -0.03

The most stable of them is *x*.

*w*
AlPCO2 | PBE-GGA | relaxed

Summary:
spin magnetization = 0.89 Bohr magnetons per cell
DOS at the Fermi energy = 2.33 states/eV per cell

Cell lengths 3.3564, 3.3564, 7.4085 Å; angles 90.00, 90.00, 90.00 degrees
Each line ends with the local moment (μB).
Element x y z (fractional)
P: 0.0000 0.0000 0.5000  -0.24
C: 0.5000 0.5000 0.5000  0.29
Al: 0.0000 0.0000 0.0000  -0.01
O: 0.0000 0.5000 0.0000  0.38
O: 0.5000 0.0000 0.0000  0.38

*x*
AlPCO2 | PBE-GGA | relaxed

Summary:
spin magnetization = 0.00 Bohr magnetons per cell
DOS at the Fermi energy = 2.28 states/eV per cell

Cell lengths 3.5822, 3.5822, 3.9385 Å; angles 90.00, 90.00, 90.00 degrees
Element x y z (fractional)
P: 0.0000 0.0000 0.5000
C: 0.0000 0.0000 0.0000
Al: 0.5000 0.5000 0.5000
O: 0.0000 0.5000 0.0000
O: 0.5000 0.0000 0.0000

The most stable of them is *w*.

*w*
Al3OsC | PBE-GGA | relaxed

Summary:
spin magnetization = 1.67 Bohr magnetons per cell
DOS at the Fermi energy = 2.34 states/eV per cell

Cell lengths 4.7204, 4.7204, 4.7204 Å; angles 90.00, 90.00, 90.00 degrees
Each line ends with the local moment (μB).
Element x y z (fractional)
C: 0.5000 0.5000 0.5000  0.85
Os: 0.0000 0.0000 0.0000  0.18
Al: 0.0000 0.5000 0.0000  -0.03
Al: 0.0000 0.0000 0.5000  -0.04
Al: 0.5000 0.0000 0.0000  0.00

*x*
Al3OsC | PBE-GGA | relaxed

Summary:
spin magnetization = 0.00 Bohr magnetons per cell
DOS at the Fermi energy = 2.34 states/eV per cell

Cell lengths 4.0005, 4.0005, 4.0005 Å; angles 90.00, 90.00, 90.00 degrees
Element x y z (fractional)
C: 0.0000 0.0000 0.0000
Os: 0.5000 0.5000 0.5000
Al: 0.0000 0.5000 0.0000
Al: 0.0000 0.0000 0.5000
Al: 0.5000 0.0000 0.0000

The most stable of them is *x*.

*w*
AlOsC3 | PBE-GGA | relaxed

Summary:
spin magnetization = 0.00 Bohr magnetons per cell
DOS at the Fermi energy = 3.79 states/eV per cell

Cell lengths 4.0030, 4.0030, 4.0030 Å; angles 90.00, 90.00, 90.00 degrees
Element x y z (fractional)
C: 0.0000 0.5000 0.0000
C: 0.0000 0.0000 0.5000
C: 0.5000 0.0000 0.0000
Os: 0.0000 0.0000 0.0000
Al: 0.5000 0.5000 0.5000

*x*
AlOsC3 | PBE-GGA | relaxed

Summary:
spin magnetization = 0.01 Bohr magnetons per cell
DOS at the Fermi energy = 6.51 states/eV per cell

Cell lengths 3.8126, 3.8126, 3.8126 Å; angles 90.00, 90.00, 90.00 degrees
Element x y z (fractional)
C: 0.0000 0.5000 0.0000
C: 0.0000 0.0000 0.5000
C: 0.5000 0.0000 0.0000
Os: 0.5000 0.5000 0.5000
Al: 0.0000 0.0000 0.0000

The most stable of them is *w*.